5
Lattice="-5.166 0.899 -0.288 -0.920 -4.437 2.655 0.215 2.712 4.606" Properties=species:S:1:pos:R:3 comment="LiRePb2I | Alexandria via LeMat-Bulk | PBEsol | relaxed" total_energy_ev_per_atom=-4.446 m_tot_mub_per_cell=0.92 pbc="T T T"
Li 0.107 1.356 2.303
I -2.936 -0.413 3.486
Pb -0.460 -2.218 1.328
Pb -2.583 0.450 -0.144
Re 0.000 0.000 0.000